a | A geometry-optimized Tl2In2Au structure. Source: the Alexandria database, functional PBE-GGA.

abc: 7.6278 7.6278 4.8699
angles: 90.00 90.00 90.00
Closest atoms and distances in Å follow each position.
Element x y z (fractional)
Tl 0.1508 0.3492 0.0000  2 Au 2.90, 2 In 3.17
Tl 0.3492 0.8492 0.0000  2 Au 2.90, 2 In 3.17
Tl 0.6508 0.1508 0.0000  2 Au 2.90, 2 In 3.17
Tl 0.8492 0.6508 0.0000  2 Au 2.90, 2 In 3.17
In 0.1608 0.6608 0.5000  6 Tl 3.17-3.40, 1 In 3.47
In 0.3392 0.1608 0.5000  6 Tl 3.17-3.40, 1 In 3.47
In 0.6608 0.8392 0.5000  6 Tl 3.17-3.40, 1 In 3.47
In 0.8392 0.3392 0.5000  6 Tl 3.17-3.40, 1 In 3.47
Au 0.0000 0.0000 0.0000  4 Tl 2.90
Au 0.5000 0.5000 0.0000  4 Tl 2.90

Its total moment is 0.00 μB/cell.

=====

b | A geometry-optimized Tl2In2Au structure. Source: the Alexandria database, functional PBE-GGA.

abc: 7.2581 7.2581 5.3124
angles: 90.00 90.00 90.00
Closest atoms and distances in Å follow each position.
Element x y z (fractional)
Tl 0.1695 0.3305 0.0000  6 In 3.26-3.51, 1 Tl 3.48
Tl 0.3305 0.8305 0.0000  6 In 3.26-3.51, 1 Tl 3.48
Tl 0.6695 0.1695 0.0000  6 In 3.26-3.51, 1 Tl 3.48
Tl 0.8305 0.6695 0.0000  6 In 3.26-3.51, 1 Tl 3.48
In 0.1465 0.6465 0.5000  2 Au 2.78, 1 In 3.01
In 0.3535 0.1465 0.5000  2 Au 2.78, 1 In 3.01
In 0.6465 0.8535 0.5000  2 Au 2.78, 1 In 3.01
In 0.8535 0.3535 0.5000  2 Au 2.78, 1 In 3.01
Au 0.0000 0.0000 0.5000  4 In 2.78
Au 0.5000 0.5000 0.5000  4 In 2.78

Its total moment is 0.00 μB/cell.

=====

c | A geometry-optimized Tl2In2Au structure. Source: the Alexandria database, functional PBE-GGA.

abc: 8.7954 8.7954 8.7954
angles: 152.22 152.22 39.70
Closest atoms and distances in Å follow each position.
Element x y z (fractional)
Tl 0.2500 0.7500 0.5000  4 Tl 2.99
Tl 0.7500 0.2500 0.5000  4 Tl 2.99
In 0.0871 0.0871 0.0000  1 In 2.88
In 0.9129 0.9129 0.0000  1 In 2.88
Au 0.5000 0.5000 0.0000  8 In 3.32

Its total moment is 0.00 μB/cell.

=====

b wins, 0.144 eV/atom ahead of the next structure.

=====

a | A geometry-optimized TlIn2Au structure. Source: the Alexandria database, functional PBE-GGA.

abc: 5.6217 5.6217 5.6217
angles: 130.45 130.45 72.69
Closest atoms and distances in Å follow each position.
Element x y z (fractional)
Tl 0.0000 0.0000 0.0000  8 In 3.27, 4 Au 3.33
In 0.2500 0.7500 0.5000  4 Au 3.27, 4 Tl 3.27, 4 In 3.33
In 0.7500 0.2500 0.5000  4 Au 3.27, 4 Tl 3.27, 4 In 3.33
Au 0.5000 0.5000 0.0000  8 In 3.27, 4 Tl 3.33

Its total moment is 0.00 μB/cell.

=====

b | A geometry-optimized TlIn2Au structure. Source: the Alexandria database, functional PBE-GGA.

abc: 4.2344 4.5718 5.8221
angles: 90.00 107.01 90.00
Closest atoms and distances in Å follow each position.
Element x y z (fractional)
Tl 0.0000 0.0000 0.0000  2 Au 3.06, 4 In 3.31
In 0.3234 0.5000 0.7241  2 Au 2.84, 1 In 3.12
In 0.6766 0.5000 0.2759  2 Au 2.84, 1 In 3.12
Au 0.5000 0.0000 0.5000  4 In 2.84, 2 Tl 3.06

Its total moment is 0.00 μB/cell.

=====

c | A geometry-optimized TlIn2Au structure. Source: the Alexandria database, functional PBE-GGA.

abc: 6.4589 6.4589 6.4589
angles: 149.95 128.72 60.59
Closest atoms and distances in Å follow each position.
Element x y z (fractional)
Tl 0.0000 0.0000 0.0000  4 Au 3.26, 2 Tl 3.35, 4 In 3.60
In 0.2857 0.7857 0.5000  2 Au 2.92
In 0.7143 0.2143 0.5000  2 Au 2.92
Au 0.5000 0.5000 0.0000  4 In 2.92, 4 Tl 3.26

Its total moment is 0.00 μB/cell.

=====

b wins, 0.013 eV/atom ahead of the next structure.

=====

a | A geometry-optimized TlIn2Au structure. Source: the Alexandria database, functional PBE-GGA.

abc: 5.7815 5.7815 3.2631
angles: 90.00 90.00 113.08
Closest atoms and distances in Å follow each position.
Element x y z (fractional)
Tl 0.0000 0.0000 0.0000  2 Au 3.19, 2 Tl 3.26, 8 In 3.32
In 0.0000 0.5000 0.5000  4 In 3.19-3.26, 4 Tl 3.32, 4 Au 3.32
In 0.5000 0.0000 0.5000  4 In 3.19-3.26, 4 Tl 3.32, 4 Au 3.32
Au 0.5000 0.5000 0.0000  2 Tl 3.19, 2 Au 3.26, 8 In 3.32

Its total moment is 0.00 μB/cell.

=====

b | A geometry-optimized TlIn2Au structure. Source: the Alexandria database, functional PBE-GGA.

abc: 5.7055 5.7055 5.7055
angles: 132.01 132.01 70.22
Closest atoms and distances in Å follow each position.
Element x y z (fractional)
Tl 0.0000 0.0000 0.0000  8 In 3.28-3.29, 4 Au 3.29
In 0.5000 0.5000 0.0000  4 Tl 3.28, 4 In 3.29, 4 Au 3.29
In 0.7500 0.2500 0.5000  4 Au 3.28, 4 Tl 3.29, 4 In 3.29
Au 0.2500 0.7500 0.5000  8 In 3.28-3.29, 4 Tl 3.29

Its total moment is 0.00 μB/cell.

=====

c | A geometry-optimized TlIn2Au structure. Source: the Alexandria database, functional PBE-GGA.

abc: 3.2837 3.4731 9.0018
angles: 90.00 90.00 90.00
Closest atoms and distances in Å follow each position.
Element x y z (fractional)
Tl 0.0000 0.0000 0.0000  4 Tl 3.28-3.47, 8 In 3.58
In 0.5000 0.5000 0.2967  4 Au 3.01, 2 In 3.28
In 0.5000 0.5000 0.7033  4 Au 3.01, 2 In 3.28
Au 0.0000 0.0000 0.5000  8 In 3.01, 2 Au 3.28

Its total moment is 0.00 μB/cell.

=====

d | A geometry-optimized TlIn2Au structure. Source: the Alexandria database, functional PBE-GGA.

abc: 7.1158 7.1158 7.1158
angles: 150.37 142.98 48.11
Closest atoms and distances in Å follow each position.
Element x y z (fractional)
Tl 0.0000 0.0000 0.0000  2 Au 3.26, 6 In 3.26-3.34, 2 Tl 3.64
In 0.3851 0.3851 0.0000  2 Au 2.93, 4 Tl 3.26
In 0.6895 0.1895 0.5000  4 Au 2.91
Au 0.2081 0.7081 0.5000  6 In 2.91-2.93

Its total moment is 0.00 μB/cell.

=====

c wins, 0.025 eV/atom ahead of the next structure.

=====

a | A geometry-optimized TlIn6Au12 structure. Source: the Alexandria database, functional PBE-GGA.

abc: 7.7554 7.7797 7.8768
angles: 103.94 105.82 106.25
Closest atoms and distances in Å follow each position.
Element x y z (fractional)
Tl 0.0000 0.0000 0.0000  6 Au 2.92-2.95
In 0.0009 0.7144 0.4897  7 Au 2.78-3.04
In 0.2849 0.4985 0.0016  7 Au 2.78-2.97
In 0.4980 0.9984 0.7244  7 Au 2.79-2.97
In 0.5020 0.0016 0.2756  7 Au 2.79-2.97
In 0.7151 0.5015 0.9984  7 Au 2.78-2.97
In 0.9991 0.2856 0.5103  7 Au 2.78-3.04
Au 0.1174 0.7478 0.1877  4 In 2.81-2.95, 3 Au 2.83-2.98, 1 Tl 2.92
Au 0.1868 0.1114 0.7458  4 In 2.82-2.94, 3 Au 2.84-2.98, 1 Tl 2.93
Au 0.2279 0.4952 0.3585  3 In 2.78-2.98, 5 Au 2.83-2.99
Au 0.2395 0.7983 0.8772  4 In 2.81-2.97, 3 Au 2.85-2.95, 1 Tl 2.95
Au 0.3669 0.2240 0.5006  3 In 2.79-3.04, 5 Au 2.84-2.99
Au 0.4829 0.6230 0.7563  3 In 2.78-2.96, 5 Au 2.85-2.99
Au 0.5171 0.3770 0.2437  3 In 2.78-2.96, 5 Au 2.85-2.99
Au 0.6331 0.7760 0.4994  3 In 2.79-3.04, 5 Au 2.84-2.99
Au 0.7605 0.2017 0.1228  4 In 2.81-2.97, 3 Au 2.85-2.95, 1 Tl 2.95
Au 0.7721 0.5048 0.6415  3 In 2.78-2.98, 5 Au 2.83-2.99
Au 0.8132 0.8886 0.2542  4 In 2.82-2.94, 3 Au 2.84-2.98, 1 Tl 2.93
Au 0.8826 0.2522 0.8123  4 In 2.81-2.95, 3 Au 2.83-2.98, 1 Tl 2.92

Its total moment is 0.00 μB/cell.

=====

b | A geometry-optimized TlIn6Au12 structure. Source: the Alexandria database, functional PBE-GGA.

abc: 7.8451 7.8451 7.8451
angles: 105.49 105.49 105.49
Closest atoms and distances in Å follow each position.
Element x y z (fractional)
Tl 0.0000 0.0000 0.0000  6 Au 3.07
In 0.2951 0.2951 0.6995  8 Au 2.81-3.04
In 0.2951 0.6995 0.2951  8 Au 2.81-3.04
In 0.3005 0.7049 0.7049  8 Au 2.81-3.04
In 0.6995 0.2951 0.2951  8 Au 2.81-3.04
In 0.7049 0.3005 0.7049  8 Au 2.81-3.04
In 0.7049 0.7049 0.3005  8 Au 2.81-3.04
Au 0.1122 0.3530 0.3530  4 Au 2.91-3.01, 4 In 2.93-3.04, 1 Tl 3.07
Au 0.1122 0.5000 0.8878  3 Au 2.80-2.91, 4 In 2.81-2.90
Au 0.1122 0.8878 0.5000  3 Au 2.80-2.91, 4 In 2.81-2.90
Au 0.3530 0.1122 0.3530  4 Au 2.91-3.01, 4 In 2.93-3.04, 1 Tl 3.07
Au 0.3530 0.3530 0.1122  4 Au 2.91-3.01, 4 In 2.93-3.04, 1 Tl 3.07
Au 0.5000 0.1122 0.8878  3 Au 2.80-2.91, 4 In 2.81-2.90
Au 0.5000 0.8878 0.1122  3 Au 2.80-2.91, 4 In 2.81-2.90
Au 0.6470 0.6470 0.8878  4 Au 2.91-3.01, 4 In 2.93-3.04, 1 Tl 3.07
Au 0.6470 0.8878 0.6470  4 Au 2.91-3.01, 4 In 2.93-3.04, 1 Tl 3.07
Au 0.8878 0.1122 0.5000  3 Au 2.80-2.91, 4 In 2.81-2.90
Au 0.8878 0.5000 0.1122  3 Au 2.80-2.91, 4 In 2.81-2.90
Au 0.8878 0.6470 0.6470  4 Au 2.91-3.01, 4 In 2.93-3.04, 1 Tl 3.07

Its total moment is 0.00 μB/cell.

=====

a wins, 0.026 eV/atom ahead of the next structure.